A plane-wave DFT calculation with GGA-PBE was carried out for an optimized crystal structure of ZnHgRu2Pt.

Cell lengths 4.5739, 4.7054, 4.5739 Å; angles 90.00, 90.00, 90.00 degrees
Last column: magnetic moment on the atom in μB.
Sites, in units of the cell vectors:
Pt  0.5000  0.5000  0.5000  0.33
Ru  0.5000  0.0000  0.0000  1.80
Ru  0.0000  0.0000  0.5000  1.70
Zn  0.0000  0.0000  0.0000  -0.01
Hg  0.0000  0.5000  0.0000  0.00

Properties
ΔE to the lowest computed polymorph	215.0	meV/atom
D(E_F)	6.54	states/eV per cell
energy relative to the elements	7.2	eV/f.u.
total energy	-3.79	eV per atom

A plane-wave DFT calculation with GGA-PBE was carried out for an optimized crystal structure of Zn2HgRuPt.

Cell lengths 4.7273, 4.7273, 5.1094 Å; angles 90.00, 90.00, 90.00 degrees
Last column: magnetic moment on the atom in μB.
Sites, in units of the cell vectors:
Ru  0.0000  0.0000  0.5000  1.92
Zn  0.5000  0.0000  0.0000  0.01
Zn  0.0000  0.5000  0.0000  0.01
Pt  0.5000  0.5000  0.5000  0.08
Hg  0.0000  0.0000  0.0000  0.00

Properties
D(E_F)	4.47	states/eV per cell
energy relative to the elements	6.8	eV/f.u.
total energy	-2.27	eV per atom

A plane-wave DFT calculation with GGA-PBE was carried out for an optimized crystal structure of HgPt3S.

Cell lengths 4.5532, 4.5532, 4.5532 Å; angles 90.00, 90.00, 90.00 degrees
Sites, in units of the cell vectors:
S  0.0000  0.0000  0.0000
Pt  0.0000  0.5000  0.0000
Pt  0.5000  0.0000  0.0000
Pt  0.0000  0.0000  0.5000
Hg  0.5000  0.5000  0.5000

Properties
ΔE to the lowest computed polymorph	0.0	meV/atom
D(E_F)	2.33	states/eV per cell
formation energy from raw total energies	151	kJ/mol of formula units
total energy	-4.20	eV per atom

A plane-wave DFT calculation with GGA-PBE was carried out for an optimized crystal structure of HgPt3S.

Cell lengths 5.0202, 5.0202, 5.0202 Å; angles 90.00, 90.00, 90.00 degrees
Sites, in units of the cell vectors:
Pt  0.5000  0.0000  0.0000
Pt  0.0000  0.0000  0.5000
Pt  0.0000  0.5000  0.0000
S  0.5000  0.5000  0.5000
Hg  0.0000  0.0000  0.0000

Properties
ΔE to the lowest computed polymorph	1450.1	meV/atom
D(E_F)	9.01	states/eV per cell
formation energy from raw total energies	851	kJ/mol of formula units
total energy	-2.75	eV per atom

A plane-wave DFT calculation with GGA-PBE was carried out for an optimized crystal structure of HgPtS.

Cell lengths 3.5364, 8.9074, 8.4134 Å; angles 77.01, 90.00, 90.00 degrees
Sites, in units of the cell vectors:
Pt  0.7502  0.6413  0.1589
Pt  0.7498  0.1413  0.6589
Pt  0.2498  0.3587  0.8411
Pt  0.2502  0.8587  0.3411
S  0.2498  0.0832  0.8378
S  0.7502  0.9168  0.1622
S  0.2502  0.5832  0.3378
S  0.7498  0.4168  0.6622
Hg  0.2502  0.6821  0.8895
Hg  0.2498  0.1821  0.3895
Hg  0.7498  0.3179  0.1105
Hg  0.7502  0.8179  0.6105

Properties
ΔE to the lowest computed polymorph	240.5	meV/atom
D(E_F)	5.93	states/eV per cell
formation energy from raw total energies	4	kJ/mol of formula units
total energy	-3.48	eV per atom

A plane-wave DFT calculation with GGA-PBE was carried out for an optimized crystal structure of HgPt2S2.

Cell lengths 4.5462, 4.5462, 7.3883 Å; angles 72.08, 72.08, 90.00 degrees
Sites, in units of the cell vectors:
Hg  0.0000  0.0000  0.0000
S  0.3049  0.3049  0.3901
S  0.6951  0.6951  0.6099
Pt  0.2500  0.7500  0.5000
Pt  0.7500  0.2500  0.5000

Properties
D(E_F)	1.08	states/eV per cell
formation energy from raw total energies	59	kJ/mol of formula units
total energy	-4.01	eV per atom

Q: D(E_F) of number 5 (HgPtS)?
A: 5.93 states/eV per cell